LaNbCCl2 | Alexandria via LeMat-Bulk | PBE-GGA | optimized geometry; formation energy without anion corrections = 118.4 kJ per mole of atoms; density of states at the Fermi level = 0.682 states/eV per atom
1.0
5.398 0.000 0.000
0.000 5.398 0.000
0.000 0.000 6.599
La Nb C Cl
1 1 1 2
Direct
0.000 0.000 0.000
0.000 0.000 0.500
0.500 0.500 0.500
0.000 0.500 0.000
0.500 0.000 0.000

---

La6NiC2Cl3 | Alexandria via LeMat-Bulk | PBE-GGA | optimized geometry; formation energy without anion corrections = -94.9 kJ per mole of atoms; density of states at the Fermi level = 0.563 states/eV per atom
1.0
9.130 -1.988 0.000
9.130 1.988 0.000
-2.879 0.000 8.210
La Ni C Cl
6 1 2 3
Direct
0.020 0.020 0.252
0.319 0.319 0.443
0.342 0.342 0.874
0.658 0.658 0.126
0.681 0.681 0.557
0.980 0.980 0.748
0.500 0.500 0.000
0.165 0.165 0.335
0.835 0.835 0.665
0.169 0.169 0.832
0.500 0.500 0.500
0.831 0.831 0.168

---

La8NiC3Cl4 | Alexandria via LeMat-Bulk | PBE-GGA | optimized geometry; formation energy without anion corrections = -94.0 kJ per mole of atoms; density of states at the Fermi level = 0.674 states/eV per atom
1.0
6.836 -3.942 0.000
6.836 3.942 0.000
-4.555 0.000 7.248
La Ni C Cl
8 1 3 4
Direct
0.215 0.743 0.701
0.232 0.232 0.695
0.256 0.256 0.298
0.257 0.785 0.299
0.743 0.215 0.701
0.744 0.744 0.702
0.768 0.768 0.305
0.785 0.257 0.299
0.500 0.500 0.500
0.000 0.000 0.500
0.000 0.500 0.500
0.500 0.000 0.500
0.000 0.000 0.000
0.000 0.500 0.000
0.500 0.000 0.000
0.500 0.500 0.000

---

La6C3ClO2 | Alexandria via LeMat-Bulk | PBE-GGA | optimized geometry; formation energy without anion corrections = -120.3 kJ per mole of atoms; density of states at the Fermi level = 0.223 states/eV per atom
1.0
8.477 -1.931 0.000
8.477 1.931 0.000
-1.815 0.000 7.587
La C Cl O
6 3 1 2
Direct
0.004 0.004 0.222
0.322 0.322 0.412
0.332 0.332 0.916
0.668 0.668 0.084
0.678 0.678 0.588
0.996 0.996 0.778
0.167 0.167 0.332
0.500 0.500 0.000
0.833 0.833 0.668
0.500 0.500 0.500
0.175 0.175 0.839
0.825 0.825 0.161

---

La8C3Cl3O | Alexandria via LeMat-Bulk | PBE-GGA | optimized geometry; formation energy without anion corrections = -112.5 kJ per mole of atoms; density of states at the Fermi level = 0.527 states/eV per atom
1.0
6.673 -3.842 0.000
6.673 3.842 0.000
-4.458 0.000 7.144
La C Cl O
8 3 3 1
Direct
0.228 0.734 0.697
0.234 0.234 0.700
0.265 0.265 0.303
0.266 0.772 0.303
0.734 0.228 0.697
0.735 0.735 0.697
0.766 0.766 0.300
0.772 0.266 0.303
0.000 0.000 0.500
0.000 0.500 0.500
0.500 0.000 0.500
0.000 0.500 0.000
0.500 0.000 0.000
0.500 0.500 0.000
0.500 0.500 0.500

---

La2OsCCl | Alexandria via LeMat-Bulk | PBE-GGA | optimized geometry; formation energy without anion corrections = -61.7 kJ per mole of atoms; density of states at the Fermi level = 0.719 states/eV per atom
1.0
5.364 0.000 0.000
0.000 5.364 0.000
0.000 0.000 3.872
La Os C Cl
2 1 1 1
Direct
0.000 0.500 0.000
0.500 0.000 0.000
0.000 0.000 0.500
0.000 0.000 0.000
0.500 0.500 0.500

---

La6Os2CCl3 | Alexandria via LeMat-Bulk | PBE-GGA | optimized geometry; formation energy without anion corrections = -90.8 kJ per mole of atoms; density of states at the Fermi level = 0.770 states/eV per atom
1.0
3.551 -6.132 0.000
3.551 6.132 0.000
-2.391 0.000 7.508
La Os C Cl
6 2 1 3
Direct
0.064 0.381 0.198
0.254 0.254 0.803
0.381 0.064 0.198
0.619 0.936 0.802
0.746 0.746 0.197
0.936 0.619 0.802
0.332 0.668 0.000
0.668 0.332 0.000
0.000 0.000 0.000
0.164 0.836 0.500
0.500 0.500 0.500
0.836 0.164 0.500

---

La2OsCCl | Alexandria via LeMat-Bulk | PBE-GGA | optimized geometry; formation energy without anion corrections = 75.2 kJ per mole of atoms; density of states at the Fermi level = 0.617 states/eV per atom
1.0
5.398 0.000 0.000
0.000 5.398 0.000
0.000 0.000 3.704
La Os C Cl
2 1 1 1
Direct
0.000 0.500 0.000
0.500 0.000 0.000
0.000 0.000 0.500
0.500 0.500 0.500
0.500 0.500 0.000

---

Among the records above, which one has the highest density of states at the Fermi level?
La6Os2CCl3